Material: TlZnNiPd
Method: DFT, GGA-PBE
State: relaxed

- D(E_F) (states/eV per cell) = 16.40
- volume (Å³/atom) = 15.9
- final energy (eV/cell) = -59.1

Cell: 6.3370 6.3370 6.3370 Å, 90.00 90.00 90.00°
Last column: nearest neighbours and their distance in Å.
Atoms (fractional coordinates):
Tl 0.0000 0.0000 0.0000  4 Ni 2.74, 4 Pd 2.74
Tl 0.0000 0.5000 0.5000  4 Ni 2.74, 4 Pd 2.74
Tl 0.5000 0.0000 0.5000  4 Ni 2.74, 4 Pd 2.74
Tl 0.5000 0.5000 0.0000  4 Pd 2.74, 4 Ni 2.74
Zn 0.0000 0.0000 0.5000  4 Ni 2.74, 4 Pd 2.74
Zn 0.0000 0.5000 0.0000  4 Ni 2.74, 4 Pd 2.74
Zn 0.5000 0.0000 0.0000  4 Ni 2.74, 4 Pd 2.74
Zn 0.5000 0.5000 0.5000  4 Ni 2.74, 4 Pd 2.74
Ni 0.2500 0.2500 0.2500  4 Tl 2.74, 4 Zn 2.74
Ni 0.2500 0.7500 0.7500  4 Tl 2.74, 4 Zn 2.74
Ni 0.7500 0.2500 0.7500  4 Tl 2.74, 4 Zn 2.74
Ni 0.7500 0.7500 0.2500  4 Tl 2.74, 4 Zn 2.74
Pd 0.2500 0.2500 0.7500  4 Tl 2.74, 4 Zn 2.74
Pd 0.2500 0.7500 0.2500  4 Tl 2.74, 4 Zn 2.74
Pd 0.7500 0.2500 0.2500  4 Tl 2.74, 4 Zn 2.74
Pd 0.7500 0.7500 0.7500  4 Tl 2.74, 4 Zn 2.74